(1)
{
  "formula": "ZnAuCl2",
  "functional": "PBE",
  "state": "optimized geometry",
  "total_magnetization_mub_per_fu": 0.00,
  "e_form_raw_ev_per_atom": -0.37,
  "polymorph_energy_ev_per_fu": 0.326,
  "cell": [[1.796, 1.037, 8.321], [-1.796, 1.037, 8.321], [0.000, -2.074, 8.321]],
  "species": ["Zn", "Au", "Cl", "Cl"],
  "frac_coords": [[0.000, 0.000, 0.000], [0.736, 0.736, 0.736], [0.278, 0.278, 0.278], [0.468, 0.468, 0.468]]
}

(2)
{
  "formula": "SbPtPb2",
  "functional": "PBE",
  "state": "optimized geometry",
  "total_magnetization_mub_per_fu": 0.00,
  "e_form_raw_ev_per_atom": -0.09,
  "cell": [[-1.837, 2.155, 6.913], [1.837, -2.155, 6.913], [1.837, 2.155, -6.913]],
  "species": ["Sb", "Pt", "Pb", "Pb"],
  "frac_coords": [[0.000, 0.000, 0.000], [0.500, 0.500, 0.000], [0.328, 0.828, 0.500], [0.672, 0.172, 0.500]]
}

(3)
{
  "formula": "HfMg2NiTe",
  "functional": "PBE",
  "state": "optimized geometry",
  "total_magnetization_mub_per_fu": 0.00,
  "e_form_raw_ev_per_atom": 0.84,
  "cell": [[5.292, 0.000, 0.000], [0.000, 5.292, 0.000], [0.000, 0.000, 4.602]],
  "species": ["Hf", "Mg", "Mg", "Ni", "Te"],
  "frac_coords": [[0.000, 0.000, 0.000], [0.000, 0.500, 0.500], [0.500, 0.000, 0.500], [0.500, 0.500, 0.000], [0.500, 0.500, 0.500]]
}

(4)
{
  "formula": "SrTb2Eu",
  "functional": "PBE",
  "state": "optimized geometry",
  "total_magnetization_mub_per_fu": 8.06,
  "formation_enthalpy_0k_mev_per_atom": 282,
  "cell": [[1.835, 1.059, 13.109], [-1.835, 1.059, 13.109], [0.000, -2.119, 13.109]],
  "species": ["Sr", "Tb", "Tb", "Eu"],
  "frac_coords": [[0.000, 0.000, 0.000], [0.090, 0.090, 0.090], [0.910, 0.910, 0.910], [0.500, 0.500, 0.500]]
}

(5)
{
  "formula": "SmBeO3",
  "functional": "PBE",
  "state": "optimized geometry",
  "total_magnetization_mub_per_fu": 0.99,
  "e_form_raw_ev_per_atom": -2.52,
  "cell": [[3.589, 0.000, 0.000], [0.000, 6.880, 0.000], [-0.006, 0.000, 5.481]],
  "species": ["Sm", "Sm", "Be", "Be", "O", "O", "O", "O", "O", "O"],
  "frac_coords": [[0.250, 0.250, 0.076], [0.750, 0.750, 0.924], [0.250, 0.750, 0.389], [0.750, 0.250, 0.611], [0.249, 0.750, 0.661], [0.250, 0.591, 0.187], [0.250, 0.909, 0.187], [0.750, 0.091, 0.813], [0.750, 0.409, 0.813], [0.751, 0.250, 0.339]]
}

(6)
{
  "formula": "ZnOs2Se",
  "functional": "PBE",
  "state": "optimized geometry",
  "total_magnetization_mub_per_fu": 0.00,
  "e_form_raw_ev_per_atom": 0.58,
  "polymorph_energy_ev_per_fu": 1.048,
  "cell": [[-1.462, 2.175, 4.886], [1.462, -2.175, 4.886], [1.462, 2.175, -4.886]],
  "species": ["Zn", "Os", "Os", "Se"],
  "frac_coords": [[0.000, 0.000, 0.000], [0.285, 0.785, 0.500], [0.511, 0.511, 0.000], [0.728, 0.228, 0.500]]
}

(7)
{
  "formula": "Be5Zn3",
  "functional": "PBE",
  "state": "optimized geometry",
  "total_magnetization_mub_per_fu": 0.00,
  "polymorph_energy_ev_per_fu": 0.000,
  "formation_enthalpy_0k_mev_per_atom": 213,
  "cell": [[4.083, 0.000, 0.000], [1.559, 6.393, 0.000], [1.888, 0.993, 6.957]],
  "species": ["Be", "Be", "Be", "Be", "Be", "Be", "Be", "Be", "Be", "Be", "Zn", "Zn", "Zn", "Zn", "Zn", "Zn"],
  "frac_coords": [[0.047, 0.216, 0.195], [0.173, 0.879, 0.249], [0.250, 0.979, 0.515], [0.326, 0.242, 0.632], [0.441, 0.294, 0.322], [0.559, 0.706, 0.678], [0.674, 0.758, 0.368], [0.750, 0.021, 0.485], [0.827, 0.121, 0.751], [0.953, 0.784, 0.805], [0.102, 0.581, 0.117], [0.181, 0.621, 0.514], [0.323, 0.968, 0.895], [0.677, 0.032, 0.105], [0.819, 0.379, 0.486], [0.898, 0.419, 0.883]]
}

(8)
{
  "formula": "Tm3BBr3",
  "functional": "PBE",
  "state": "optimized geometry",
  "total_magnetization_mub_per_fu": 0.00,
  "e_form_raw_ev_per_atom": -1.22,
  "cell": [[3.316, 1.914, 10.530], [-3.316, 1.914, 10.530], [0.000, -3.829, 10.530]],
  "species": ["Tm", "Tm", "Tm", "Tm", "Tm", "Tm", "B", "B", "Br", "Br", "Br", "Br", "Br", "Br"],
  "frac_coords": [[0.104, 0.456, 0.808], [0.192, 0.896, 0.544], [0.456, 0.808, 0.104], [0.544, 0.192, 0.896], [0.808, 0.104, 0.456], [0.896, 0.544, 0.192], [0.167, 0.167, 0.167], [0.833, 0.833, 0.833], [0.072, 0.722, 0.397], [0.278, 0.603, 0.928], [0.397, 0.072, 0.722], [0.603, 0.928, 0.278], [0.722, 0.397, 0.072], [0.928, 0.278, 0.603]]
}

(9)
{
  "formula": "KFeSe",
  "functional": "PBE",
  "state": "optimized geometry",
  "total_magnetization_mub_per_fu": 3.75,
  "e_form_raw_ev_per_atom": 0.90,
  "polymorph_energy_ev_per_fu": 3.805,
  "cell": [[0.000, 3.556, 3.556], [3.556, 0.000, 3.556], [3.556, 3.556, 0.000]],
  "species": ["K", "Fe", "Se"],
  "frac_coords": [[0.000, 0.000, 0.000], [0.250, 0.250, 0.250], [0.750, 0.750, 0.750]]
}

(10)
{
  "formula": "Li4NdTl2",
  "functional": "PBE",
  "state": "optimized geometry",
  "total_magnetization_mub_per_fu": 0.00,
  "formation_enthalpy_0k_mev_per_atom": -236,
  "cell": [[8.022, 0.000, 0.000], [0.000, 8.022, 0.000], [0.000, 0.000, 4.805]],
  "species": ["Li", "Li", "Li", "Li", "Li", "Li", "Li", "Li", "Nd", "Nd", "Tl", "Tl", "Tl", "Tl"],
  "frac_coords": [[0.103, 0.356, 0.000], [0.144, 0.603, 0.500], [0.356, 0.103, 0.000], [0.397, 0.856, 0.500], [0.603, 0.144, 0.500], [0.644, 0.897, 0.000], [0.856, 0.397, 0.500], [0.897, 0.644, 0.000], [0.000, 0.000, 0.500], [0.500, 0.500, 0.000], [0.211, 0.789, 0.000], [0.289, 0.289, 0.500], [0.711, 0.711, 0.500], [0.789, 0.211, 0.000]]
}

(11)
{
  "formula": "Ca3Nd2Hg4",
  "functional": "PBE",
  "state": "optimized geometry",
  "total_magnetization_mub_per_fu": 0.00,
  "polymorph_energy_ev_per_fu": 0.000,
  "formation_enthalpy_0k_mev_per_atom": -443,
  "cell": [[4.632, -2.673, 0.000], [4.632, 2.673, 0.000], [-0.009, 0.000, 10.572]],
  "species": ["Ca", "Ca", "Ca", "Nd", "Nd", "Hg", "Hg", "Hg", "Hg"],
  "frac_coords": [[0.000, 0.000, 0.000], [0.334, 0.334, 0.412], [0.666, 0.666, 0.588], [0.333, 0.333, 0.797], [0.667, 0.667, 0.203], [0.001, 0.001, 0.333], [0.334, 0.334, 0.104], [0.666, 0.666, 0.896], [0.999, 0.999, 0.667]]
}

(12)
{
  "formula": "Th4OsPd",
  "functional": "PBE",
  "state": "optimized geometry",
  "total_magnetization_mub_per_fu": 0.00,
  "polymorph_energy_ev_per_fu": 0.000,
  "formation_enthalpy_0k_mev_per_atom": -409,
  "cell": [[7.241, 0.000, 0.000], [0.000, 7.241, 0.000], [0.000, 0.000, 6.067]],
  "species": ["Th", "Th", "Th", "Th", "Th", "Th", "Th", "Th", "Os", "Os", "Pd", "Pd"],
  "frac_coords": [[0.158, 0.325, 0.000], [0.158, 0.675, 0.500], [0.325, 0.158, 0.500], [0.325, 0.842, 0.000], [0.675, 0.158, 0.000], [0.675, 0.842, 0.500], [0.842, 0.325, 0.500], [0.842, 0.675, 0.000], [0.000, 0.000, 0.250], [0.000, 0.000, 0.750], [0.500, 0.500, 0.250], [0.500, 0.500, 0.750]]
}

no.,VASP energy (eV per atom)
1,-2.4331
2,-4.4848
3,-3.5749
4,-5.0225
5,-7.1852
6,-6.2242
7,-2.5940
8,-4.8035
9,-3.4483
10,-2.6873
11,-2.3034
12,-8.0923